Entry 1:
Material: BaW2
Method: DFT, PBE
State: relaxed

a b c (Å): 4.999 4.999 2.972
angles (deg): 90.00 90.00 120.00
Sites, in units of the cell vectors:
Ba 0.000 0.000 0.000
W 0.667 0.333 0.374
W 0.333 0.667 0.626

Summary:
The magnetic moment comes out at 0.00 μB per cell. The space-group type is P-3m1. The calculation puts the density of states at the Fermi level at 2.37 states/eV/cell. For the formation energy, the calculation gives 1680.3 meV per atom.



Entry 2:
Material: Ba2W
Method: DFT, PBE
State: relaxed

a b c (Å): 7.103 7.103 7.103
angles (deg): 97.17 97.17 138.62
Sites, in units of the cell vectors:
Ba 0.660 0.840 0.500
Ba 0.340 0.160 0.500
Ba 0.840 0.340 0.180
Ba 0.160 0.660 0.820
W 0.250 0.250 0.000
W 0.750 0.750 0.000

Summary:
The magnetic moment comes out at 0.51 μB per cell. The space-group type is I4/mcm. The calculation puts the density of states at the Fermi level at 9.24 states/eV/cell. For the formation energy, the calculation gives 1005.0 meV per atom.



Entry 3:
Material: BaW
Method: DFT, PBE
State: relaxed

a b c (Å): 7.815 7.815 8.153
angles (deg): 64.22 64.22 28.13
Sites, in units of the cell vectors:
Ba 0.090 0.090 0.927
Ba 0.335 0.335 0.333
Ba 0.373 0.373 0.786
W 0.622 0.622 0.532
W 0.065 0.065 0.390
W 0.681 0.681 0.200

Summary:
The magnetic moment comes out at 0.00 μB per cell. The space-group type is Cm. The calculation puts the density of states at the Fermi level at 7.27 states/eV/cell. For the formation energy, the calculation gives 951.6 meV per atom.



Entry 4:
Material: BaW5
Method: DFT, PBE
State: relaxed

a b c (Å): 5.562 5.562 4.655
angles (deg): 90.00 90.00 130.30
Sites, in units of the cell vectors:
Ba 0.500 0.500 0.000
W 0.320 0.680 0.500
W 0.173 0.827 0.000
W 0.000 0.000 0.500
W 0.827 0.173 0.000
W 0.680 0.320 0.500

Summary:
The magnetic moment comes out at 0.00 μB per cell. The space-group type is Cmmm. The calculation puts the density of states at the Fermi level at 3.45 states/eV/cell. For the formation energy, the calculation gives 1116.6 meV per atom.



Entry 5:
Material: BaW2
Method: DFT, PBE
State: relaxed

a b c (Å): 7.036 7.036 7.036
angles (deg): 152.23 152.23 39.68
Sites, in units of the cell vectors:
Ba 0.000 0.000 0.000
W 0.711 0.711 0.000
W 0.289 0.289 0.000

Summary:
The magnetic moment comes out at 0.00 μB per cell. The space-group type is I4/mmm. The calculation puts the density of states at the Fermi level at 3.91 states/eV/cell. For the formation energy, the calculation gives 942.1 meV per atom.



Entry 6:
Material: BaW3
Method: DFT, PBE
State: relaxed

a b c (Å): 7.750 7.750 4.371
angles (deg): 90.00 90.00 120.00
Sites, in units of the cell vectors:
Ba 0.333 0.667 0.250
Ba 0.667 0.333 0.750
W 0.887 0.774 0.250
W 0.226 0.113 0.250
W 0.887 0.113 0.250
W 0.113 0.226 0.750
W 0.774 0.887 0.750
W 0.113 0.887 0.750

Summary:
The magnetic moment comes out at 0.00 μB per cell. The space-group type is P6_3/mmc. The calculation puts the density of states at the Fermi level at 7.75 states/eV/cell. For the formation energy, the calculation gives 1049.1 meV per atom.



Entry 7:
Material: Ba3W
Method: DFT, PBE
State: relaxed

a b c (Å): 5.466 5.466 5.466
angles (deg): 90.00 90.00 90.00
Sites, in units of the cell vectors:
Ba 0.000 0.500 0.500
Ba 0.500 0.000 0.500
Ba 0.500 0.500 0.000
W 0.000 0.000 0.000

Summary:
The magnetic moment comes out at 3.02 μB per cell. The space-group type is Pm-3m. The calculation puts the density of states at the Fermi level at 5.67 states/eV/cell. For the formation energy, the calculation gives 1183.5 meV per atom.



Entry 8:
Material: BaW2
Method: DFT, PBE
State: relaxed

a b c (Å): 7.690 7.690 7.690
angles (deg): 90.00 90.00 90.00
Sites, in units of the cell vectors:
Ba 0.000 0.000 0.000
Ba 0.500 0.500 0.000
Ba 0.500 0.000 0.500
Ba 0.000 0.500 0.500
W 0.580 0.580 0.420
W 0.420 0.420 0.580
W 0.080 0.920 0.580
W 0.920 0.080 0.420
W 0.420 0.080 0.080
W 0.580 0.920 0.920
W 0.920 0.420 0.920
W 0.080 0.580 0.080

Summary:
The magnetic moment comes out at 0.00 μB per cell. The space-group type is Pa-3. The calculation puts the density of states at the Fermi level at 6.57 states/eV/cell. For the formation energy, the calculation gives 2839.8 meV per atom.



Entry 9:
Material: Ba2W
Method: DFT, PBE
State: relaxed

a b c (Å): 5.894 5.894 3.314
angles (deg): 90.00 90.00 90.00
Sites, in units of the cell vectors:
Ba 0.000 0.500 0.500
Ba 0.500 0.000 0.500
W 0.000 0.000 0.000

Summary:
The magnetic moment comes out at 0.32 μB per cell. The space-group type is P4/mmm. The calculation puts the density of states at the Fermi level at 4.73 states/eV/cell. For the formation energy, the calculation gives 1391.8 meV per atom.



Entry 10:
Material: BaW2
Method: DFT, PBE
State: relaxed

a b c (Å): 6.021 6.021 8.533
angles (deg): 87.95 87.95 30.39
Sites, in units of the cell vectors:
Ba 0.056 0.056 0.009
Ba 0.296 0.296 0.308
W 0.674 0.674 0.662
W 0.550 0.550 0.427
W 0.945 0.945 0.625
W 0.313 0.313 0.803

Summary:
The magnetic moment comes out at 0.00 μB per cell. The space-group type is Cm. The calculation puts the density of states at the Fermi level at 4.83 states/eV/cell. For the formation energy, the calculation gives 1030.9 meV per atom.



Entry 11:
Material: Ba2W
Method: DFT, PBE
State: relaxed

a b c (Å): 17.943 17.943 17.943
angles (deg): 169.13 169.13 15.40
Sites, in units of the cell vectors:
Ba 0.567 0.567 0.000
Ba 0.183 0.683 0.500
Ba 0.433 0.433 0.000
Ba 0.317 0.817 0.500
W 0.000 0.000 0.000
W 0.750 0.250 0.500

Summary:
The magnetic moment comes out at 0.00 μB per cell. The space-group type is I4_1/amd. The calculation puts the density of states at the Fermi level at 5.27 states/eV/cell. For the formation energy, the calculation gives 1295.8 meV per atom.



Entry 12:
Material: BaW
Method: DFT, PBE
State: relaxed

a b c (Å): 6.319 15.103 10.013
angles (deg): 90.00 90.00 90.00
Sites, in units of the cell vectors:
Ba 0.000 0.000 0.666
Ba 0.000 0.000 0.334
Ba 0.250 0.750 0.584
Ba 0.250 0.750 0.916
Ba 0.000 0.500 0.166
Ba 0.000 0.500 0.834
Ba 0.250 0.250 0.084
Ba 0.250 0.250 0.416
Ba 0.500 0.000 0.166
Ba 0.500 0.000 0.834
Ba 0.750 0.750 0.084
Ba 0.750 0.750 0.416
Ba 0.500 0.500 0.666
Ba 0.500 0.500 0.334
Ba 0.750 0.250 0.584
Ba 0.750 0.250 0.916
W 0.000 0.076 0.000
W 0.000 0.924 0.000
W 0.250 0.674 0.250
W 0.250 0.826 0.250
W 0.000 0.576 0.500
W 0.000 0.424 0.500
W 0.250 0.174 0.750
W 0.250 0.326 0.750
W 0.500 0.076 0.500
W 0.500 0.924 0.500
W 0.750 0.674 0.750
W 0.750 0.826 0.750
W 0.500 0.576 0.000
W 0.500 0.424 0.000
W 0.750 0.174 0.250
W 0.750 0.326 0.250

Summary:
The magnetic moment comes out at 0.00 μB per cell. The space-group type is Fddd. The calculation puts the density of states at the Fermi level at 31.93 states/eV/cell. For the formation energy, the calculation gives 1246.3 meV per atom.